Computed, not measured: a relaxed EuPuMgPb crystal at the GGA-PBE level of DFT.

Summary:
The volume comes out at 29.97 A^3/atom. The calculation puts the total magnetic moment at 0.9 μB/cell. The formation energy is -111 meV/atom. The symmetry is No. 216.

abc: 5.5345 5.5345 5.5345
angles: 60.00 60.00 60.00
Last column: magnetic moment on the atom in μB.
Atoms (fractional coordinates):
Pb (0.2500, 0.2500, 0.2500)  -0.03
Eu (0.5000, 0.5000, 0.5000)  -6.80
Mg (0.7500, 0.7500, 0.7500)  0.01
Pu (0.0000, 0.0000, 0.0000)  5.58